[1]
Compound: KHf2ZrI
Source: the Alexandria database
Functional: PBE-GGA
Structure: relaxed

formation energy from raw total energies	432.5	kJ/mol of formula units
space-group type	P4/mmm, No. 123

```
KHf2ZrI
1.0
5.2142 0.0000 0.0000
0.0000 5.2142 0.0000
0.0000 0.0000 6.3695
K Hf Zr I
1 2 1 1
Direct
0.0000 0.0000 0.0000
0.0000 0.5000 0.5000
0.5000 0.0000 0.5000
0.5000 0.5000 0.5000
0.5000 0.5000 0.0000
```

=====

[2]
Compound: OsCl
Source: the Alexandria database
Functional: PBE-GGA
Structure: relaxed

excess energy over the best structure of this formula in the dataset	354.4	meV per atom
formation energy from raw total energies	92.3	kJ/mol of formula units
space-group type	Cm, No. 8

```
OsCl
1.0
5.0865 -1.4535 0.0000
5.0865 1.4535 0.0000
-0.2321 0.0000 8.2655
Os Cl
3 3
Direct
0.0000 0.0000 0.0000
0.3281 0.3281 0.8363
0.6001 0.6001 0.7846
0.2251 0.2251 0.0974
0.4889 0.4889 0.2505
0.7677 0.7677 0.5901
```

=====

[3]
Compound: PuPaZnRh
Source: the Alexandria database
Functional: PBE-GGA
Structure: relaxed

excess energy over the best structure of this formula in the dataset	216.1	meV per atom
DFT formation energy	-0.7	eV/f.u.
space-group type	F-43m, No. 216

```
PuPaZnRh
1.0
0.0000 3.4803 3.4803
3.4803 0.0000 3.4803
3.4803 3.4803 0.0000
Pu Pa Zn Rh
1 1 1 1
Direct
0.0000 0.0000 0.0000
0.5000 0.5000 0.5000
0.2500 0.2500 0.2500
0.7500 0.7500 0.7500
```